Arrangement w

This record from Alexandria via LeMat-Bulk describes a geometry-optimized CaZr3Ir structure. The functional is PBE.

abc: 4.847 4.847 4.847
angles: 90.00 90.00 90.00
Fractional coordinates of all 5 atoms:
Zr (0.500, 0.000, 0.000)
Zr (0.000, 0.000, 0.500)
Ca (0.000, 0.000, 0.000)
Ir (0.500, 0.500, 0.500)
Zr (0.000, 0.500, 0.000)

Summary:
Density of states at the Fermi level   9.69 states/eV/f.u.

***

Arrangement x

This record from Alexandria via LeMat-Bulk describes a geometry-optimized CaZr3Ir structure. The functional is PBE.

abc: 5.169 5.169 5.169
angles: 90.00 90.00 90.00
Fractional coordinates of all 5 atoms:
Zr (0.000, 0.500, 0.000)
Zr (0.000, 0.000, 0.500)
Zr (0.500, 0.000, 0.000)
Ca (0.500, 0.500, 0.500)
Ir (0.000, 0.000, 0.000)

Summary:
Density of states at the Fermi level   6.76 states/eV/f.u.

***

Verdict on stability: arrangement x comes out on top.

***

Arrangement w

This record from Alexandria via LeMat-Bulk describes a geometry-optimized Ca3ZrIr structure. The functional is PBE.

abc: 5.463 5.463 5.463
angles: 90.00 90.00 90.00
Last column: magnetic moment on the atom in μB.
Fractional coordinates of all 5 atoms:
Ca (0.500, 0.000, 0.000)  0.02
Ca (0.000, 0.000, 0.500)  0.03
Ca (0.000, 0.500, 0.000)  0.01
Ir (0.000, 0.000, 0.000)  0.02
Zr (0.500, 0.500, 0.500)  1.25

Summary:
Density of states at the Fermi level   9.53 states/eV/f.u.

***

Arrangement x

This record from Alexandria via LeMat-Bulk describes a geometry-optimized Ca3ZrIr structure. The functional is PBE.

abc: 5.418 5.418 5.418
angles: 90.00 90.00 90.00
Last column: magnetic moment on the atom in μB.
Fractional coordinates of all 5 atoms:
Ca (0.000, 0.500, 0.000)  0.11
Ca (0.500, 0.000, 0.000)  0.05
Ca (0.000, 0.000, 0.500)  0.18
Zr (0.000, 0.000, 0.000)  1.09
Ir (0.500, 0.500, 0.500)  1.01

Summary:
Density of states at the Fermi level   7.65 states/eV/f.u.

***

Verdict on stability: arrangement w comes out on top.

***

Arrangement w

This record from Alexandria via LeMat-Bulk describes a geometry-optimized K2Ca structure. The functional is PBE.

abc: 11.606 11.606 4.343
angles: 90.00 90.00 142.61
Fractional coordinates of all 6 atoms:
K (0.760, 0.240, 0.750)
Ca (0.072, 0.928, 0.750)
K (0.417, 0.583, 0.750)
Ca (0.928, 0.072, 0.250)
K (0.240, 0.760, 0.250)
K (0.583, 0.417, 0.250)

Summary:
Density of states at the Fermi level   3.41 states/eV/f.u.

***

Arrangement x

This record from Alexandria via LeMat-Bulk describes a geometry-optimized K2Ca structure. The functional is PBE.

abc: 4.177 4.177 10.553
angles: 101.41 101.41 90.00
Fractional coordinates of all 3 atoms:
Ca (0.000, 0.000, 0.000)
K (0.343, 0.343, 0.686)
K (0.657, 0.657, 0.314)

Summary:
Density of states at the Fermi level   2.70 states/eV/f.u.

***

Verdict on stability: arrangement x comes out on top.

***

Arrangement w

This record from Alexandria via LeMat-Bulk describes a geometry-optimized K2Ca structure. The functional is PBE.

abc: 7.587 7.587 7.587
angles: 148.40 128.52 61.67
Fractional coordinates of all 3 atoms:
K (0.663, 0.663, 0.000)
Ca (0.000, 0.000, 0.000)
K (0.337, 0.337, 0.000)

Summary:
Density of states at the Fermi level   2.90 states/eV/f.u.

***

Arrangement x

This record from Alexandria via LeMat-Bulk describes a geometry-optimized K2Ca structure. The functional is PBE.

abc: 7.894 7.894 7.894
angles: 60.00 60.00 60.00
Fractional coordinates of all 6 atoms:
K (0.125, 0.125, 0.125)
K (0.125, 0.125, 0.625)
Ca (0.750, 0.750, 0.750)
K (0.625, 0.125, 0.125)
K (0.125, 0.625, 0.125)
Ca (0.500, 0.500, 0.500)

Summary:
Density of states at the Fermi level   3.01 states/eV/f.u.

***

Arrangement y

This record from Alexandria via LeMat-Bulk describes a geometry-optimized K2Ca structure. The functional is PBE.

abc: 8.419 8.419 10.627
angles: 73.68 73.68 29.43
Fractional coordinates of all 6 atoms:
K (0.938, 0.938, 0.606)
Ca (0.346, 0.346, 0.311)
K (0.664, 0.664, 0.667)
Ca (0.991, 0.991, 0.021)
K (0.614, 0.614, 0.275)
K (0.279, 0.279, 0.953)

Summary:
Density of states at the Fermi level   2.71 states/eV/f.u.

***

Verdict on stability: arrangement y comes out on top.

***

Arrangement w

This record from Alexandria via LeMat-Bulk describes a geometry-optimized K5Ca structure. The functional is PBE.

abc: 12.272 12.272 7.358
angles: 90.00 90.00 159.39
Fractional coordinates of all 6 atoms:
K (0.344, 0.656, 0.000)
K (0.103, 0.897, 0.500)
K (0.664, 0.336, 0.000)
K (0.774, 0.226, 0.500)
Ca (0.003, 0.997, 0.000)
K (0.446, 0.554, 0.500)

Summary:
Density of states at the Fermi level   5.25 states/eV/f.u.

***

Arrangement x

This record from Alexandria via LeMat-Bulk describes a geometry-optimized K5Ca structure. The functional is PBE.

abc: 8.253 8.253 8.253
angles: 60.00 60.00 60.00
Fractional coordinates of all 6 atoms:
K (0.123, 0.626, 0.626)
K (0.626, 0.123, 0.626)
K (0.626, 0.626, 0.123)
K (0.626, 0.626, 0.626)
Ca (0.000, 0.000, 0.000)
K (0.250, 0.250, 0.250)

Summary:
Density of states at the Fermi level   5.16 states/eV/f.u.

***

Verdict on stability: arrangement w comes out on top.

***

Arrangement w

This record from Alexandria via LeMat-Bulk describes a geometry-optimized KCa4 structure. The functional is PBE.

abc: 7.219 7.219 7.219
angles: 109.47 109.47 109.47
Fractional coordinates of all 5 atoms:
Ca (0.000, 0.000, 0.500)
Ca (0.000, 0.500, 0.000)
Ca (0.500, 0.000, 0.000)
Ca (0.500, 0.500, 0.500)
K (0.000, 0.000, 0.000)

Summary:
Density of states at the Fermi level   6.68 states/eV/f.u.

***

Arrangement x

This record from Alexandria via LeMat-Bulk describes a geometry-optimized KCa4 structure. The functional is PBE.

abc: 6.390 6.390 6.390
angles: 90.00 90.00 90.00
Fractional coordinates of all 5 atoms:
Ca (0.000, 0.500, 0.500)
K (0.500, 0.500, 0.500)
Ca (0.500, 0.500, 0.000)
Ca (0.500, 0.000, 0.500)
Ca (0.000, 0.000, 0.000)

Summary:
Density of states at the Fermi level   8.46 states/eV/f.u.

***

Verdict on stability: arrangement w comes out on top.